Material: VTe2AsW
Method: DFT, PBE
State: optimized geometry

Lattice parameters (Å, degrees): 5.405 4.720 5.405 90.00 90.00 90.00
Each line ends with the local moment (μB).
Element x y z (fractional)
As 0.000 0.500 0.000  0.01
Te 0.000 0.000 0.500  0.03
Te 0.500 0.000 0.000  0.04
W 0.000 0.000 0.000  0.28
V 0.500 0.500 0.500  -0.36

Computed properties:
Total moment, μB/f.u.: 0.073
Space-group type: P4/mmm (123)
Crystal system: tetragonal
Formation energy (no corrections), eV/atom: 1.19